Entry 1:
Compound: CuSbTe2C
Source: the Alexandria database
Functional: PBEsol
Structure: relaxed

**Magnetic moment**: 0.21 μB/atom
**Final energy**: -0.1240 Ha/atom
**Formation energy without anion corrections**: 1.7446 eV/atom

Cell: 5.0517 5.0517 4.8622 Å, 90.00 90.00 90.00°
With the nearest neighbours (Å) after each atom.
Space group P4/mmm (No. 123)
Asymmetric unit:
Cu 0.0000 0.0000 0.0000  2 Sb 2.43, 4 Te 2.53
Sb 0.0000 0.0000 0.5000  2 Cu 2.43
Te 0.0000 0.5000 0.0000  2 Cu 2.53
C 0.5000 0.5000 0.5000  8 Te 3.51, 4 Sb 3.57



Entry 2:
Compound: TaTe2ICl
Source: the Alexandria database
Functional: PBEsol
Structure: relaxed

**Magnetic moment**: 0.00 μB/atom
**Final energy**: -0.1690 Ha/atom
**Formation energy without anion corrections**: 0.0765 eV/atom

Cell: 5.2882 5.2882 5.4276 Å, 90.00 90.00 90.00°
With the nearest neighbours (Å) after each atom.
Space group P4/mmm (No. 123)
Asymmetric unit:
Ta 0.0000 0.0000 0.0000  4 Te 2.64, 2 I 2.71
Te 0.0000 0.5000 0.0000  2 Ta 2.64
I 0.0000 0.0000 0.5000  2 Ta 2.71
Cl 0.5000 0.5000 0.5000  4 I 3.74, 8 Te 3.79



Entry 3:
Compound: Na2TlCdFe
Source: the Alexandria database
Functional: PBEsol
Structure: relaxed

**Magnetic moment**: 0.52 μB/atom
**Energy of formation**: 0.726 eV per atom
**Final energy**: -0.0879 Ha/atom

Cell: 5.3409 5.3409 4.9726 Å, 90.00 90.00 90.00°
With the nearest neighbours (Å) after each atom.
Space group P4/mmm (No. 123)
Asymmetric unit:
Na 0.0000 0.5000 0.0000  2 Fe 2.67
Tl 0.0000 0.0000 0.5000  8 Na 3.65, 4 Cd 3.78
Cd 0.5000 0.5000 0.5000  2 Fe 2.49
Fe 0.5000 0.5000 0.0000  2 Cd 2.49, 4 Na 2.67



Entry 4:
Compound: TcNiRu
Source: the Alexandria database
Functional: PBEsol
Structure: relaxed

**Magnetic moment**: 0.00 μB/atom
**Energy of formation**: 0.010 eV per atom
**Final energy**: -0.3377 Ha/atom
**Relative energy among the computed polymorphs**: 0.0 meV/atom

Cell: 2.6368 3.6941 7.7597 Å, 90.00 90.00 90.00°
With the nearest neighbours (Å) after each atom.
Space group Imm2 (No. 44)
Asymmetric unit:
Tc 0.0000 0.0000 0.0000  5 Ru 2.56-2.62, 5 Ni 2.60-2.61, 2 Tc 2.64
Ni 0.0000 0.0000 0.6654  5 Tc 2.60-2.61, 5 Ru 2.60-2.61, 2 Ni 2.64
Ru 0.0000 0.0000 0.3305  5 Tc 2.56-2.62, 5 Ni 2.60-2.61, 2 Ru 2.64



Entry 5:
Compound: TaZn2
Source: the Alexandria database
Functional: PBEsol
Structure: relaxed

**Magnetic moment**: 0.00 μB/atom
**Energy of formation**: -0.121 eV per atom
**Final energy**: -0.1969 Ha/atom

Cell: 7.0049 7.0049 7.0049 Å, 90.00 90.00 90.00°
With the nearest neighbours (Å) after each atom.
Space group Fd-3m (No. 227, origin choice 2)
Asymmetric unit:
Ta 0.1250 0.1250 0.1250  12 Zn 2.90, 4 Ta 3.03
Zn 0.0000 0.0000 0.5000  6 Zn 2.48



Entry 6:
Compound: Al2ZnCr
Source: the Alexandria database
Functional: PBEsol
Structure: relaxed

**Magnetic moment**: 0.00 μB/atom
**Energy of formation**: -0.069 eV per atom
**Final energy**: -0.1864 Ha/atom

Cell: 3.6855 3.6855 7.9292 Å, 90.00 90.00 90.00°
With the nearest neighbours (Å) after each atom.
Space group I4/mmm (No. 139)
Asymmetric unit:
Al 0.0000 0.5000 0.2500  4 Al 2.61, 4 Cr 2.71, 4 Zn 2.71
Zn 0.0000 0.0000 0.0000  4 Cr 2.61, 8 Al 2.71
Cr 0.0000 0.0000 0.5000  4 Zn 2.61, 8 Al 2.71



Entry 7:
Compound: MnSbRu2
Source: the Alexandria database
Functional: PBEsol
Structure: relaxed

**Magnetic moment**: 1.00 μB/atom
**Final energy**: -0.3043 Ha/atom
**Formation energy without anion corrections**: 0.3867 eV/atom

Cell: 5.5354 8.6463 2.8762 Å, 90.00 118.20 90.00°
With the nearest neighbours (Å) after each atom.
Space group C2/m (No. 12)
Asymmetric unit:
Mn 0.0000 0.0000 0.0000  4 Ru 2.60, 4 Sb 2.77-2.90, 2 Mn 2.88
Sb 0.0000 0.5000 0.0000  4 Ru 2.60, 4 Mn 2.77-2.90, 2 Sb 2.88
Ru 0.2500 0.2500 0.5000  2 Mn 2.60, 2 Sb 2.60, 6 Ru 2.77-2.90



Entry 8:
Compound: Li2CeSn
Source: the Alexandria database
Functional: PBEsol
Structure: relaxed

**Magnetic moment**: 0.27 μB/atom
**Energy of formation**: -0.350 eV per atom
**Final energy**: -0.1487 Ha/atom

Cell: 6.8173 6.8173 6.8173 Å, 90.00 90.00 90.00°
With the nearest neighbours (Å) after each atom.
Space group Fm-3m (No. 225)
Asymmetric unit:
Li 0.2500 0.2500 0.2500  4 Sn 2.95, 4 Ce 2.95
Ce 0.0000 0.0000 0.0000  8 Li 2.95
Sn 0.0000 0.0000 0.5000  8 Li 2.95



Entry 9:
Compound: Nd2Mn3Cu9P7
Source: the Alexandria database
Functional: PBEsol
Structure: relaxed

**Magnetic moment**: 0.45 μB/atom
**Energy of formation**: -0.446 eV per atom
**Final energy**: -0.2249 Ha/atom

Cell: 9.3655 9.3655 3.7588 Å, 90.00 90.00 120.00°
With the nearest neighbours (Å) after each atom.
Space group P-6 (No. 174)
Asymmetric unit:
Nd 0.0000 0.0000 0.0000  6 P 2.93, 12 Cu 3.15-3.22
Nd 0.3333 0.6667 0.5000  6 P 2.93, 9 Cu 3.11-3.18
Mn 0.5399 0.1207 0.5000  5 P 2.35-2.62
Cu 0.0493 0.7582 0.5000  4 P 2.37-2.43, 2 Cu 2.63
Cu 0.0971 0.3817 0.0000  4 P 2.32-2.42, 1 Cu 2.57
Cu 0.3886 0.2142 0.0000  4 P 2.26-2.39
P 0.0722 0.6158 0.0000  5 Cu 2.29-2.42
P 0.2581 0.0399 0.5000  1 Mn 2.35, 6 Cu 2.36-2.43
P 0.6667 0.3333 0.0000  3 Cu 2.26



Entry 10:
Compound: Zr2Mo
Source: the Alexandria database
Functional: PBEsol
Structure: relaxed

**Magnetic moment**: 0.00 μB/atom
**Energy of formation**: 0.023 eV per atom
**Final energy**: -0.3660 Ha/atom
**Relative energy among the computed polymorphs**: 17.3 meV/atom

Cell: 3.3416 14.1312 4.9452 Å, 90.00 90.00 90.00°
With the nearest neighbours (Å) after each atom.
Space group Cmcm (No. 63)
Asymmetric unit:
Zr 0.0000 0.0748 0.2500  6 Mo 2.75-2.98
Zr 0.0000 0.2299 0.7500  2 Mo 2.70
Mo 0.0000 0.4205 0.2500  8 Zr 2.70-2.98



Entry 11:
Compound: YSb2Cl
Source: the Alexandria database
Functional: PBEsol
Structure: relaxed

**Magnetic moment**: 0.00 μB/atom
**Final energy**: -0.1764 Ha/atom
**Formation energy without anion corrections**: -0.3151 eV/atom

Cell: 3.4793 3.4793 28.8403 Å, 90.00 90.00 120.00°
With the nearest neighbours (Å) after each atom.
Space group R-3m (No. 166, hexagonal axes)
Asymmetric unit:
Y 0.0000 0.0000 0.0000  6 Sb 3.18, 6 Y 3.48
Sb 0.0000 0.0000 0.2478  3 Cl 3.08, 3 Y 3.18
Cl 0.0000 0.0000 0.5000  6 Sb 3.08



Entry 12:
Compound: MgGa
Source: the Alexandria database
Functional: PBEsol
Structure: relaxed

**Magnetic moment**: 0.00 μB/atom
**Energy of formation**: -0.088 eV per atom
**Final energy**: -0.0962 Ha/atom

Cell: 3.1454 5.0703 4.8153 Å, 90.00 90.00 90.00°
With the nearest neighbours (Å) after each atom.
Space group Pmmn (No. 59, origin choice 2)
Asymmetric unit:
Mg 0.2500 0.2500 0.0980  6 Ga 2.84-2.95, 6 Mg 3.13-3.15
Ga 0.2500 0.7500 0.4097  6 Mg 2.84-2.95, 6 Ga 3.11-3.15